This record from Alexandria describes a relaxed V2B2Ir crystal. The functional is PBE.

a = 7.229 Å, b = 9.310 Å, c = 3.053 Å
α = 90.00°, β = 90.00°, γ = 90.00°
Positions (direct):
V 0.074 0.140 0.000
V 0.188 0.368 0.500
V 0.312 0.868 0.000
V 0.426 0.640 0.500
V 0.574 0.360 0.500
V 0.688 0.132 0.000
V 0.812 0.632 0.500
V 0.926 0.860 0.000
B 0.113 0.960 0.500
B 0.124 0.770 0.500
B 0.376 0.270 0.000
B 0.387 0.460 0.000
B 0.613 0.540 0.000
B 0.624 0.730 0.000
B 0.876 0.230 0.500
B 0.887 0.040 0.500
Ir 0.126 0.605 0.000
Ir 0.374 0.105 0.500
Ir 0.626 0.895 0.500
Ir 0.874 0.395 0.000

Properties
* energy above the lowest structure with this stoichiometry: 0.0 meV per atom
* formation energy from the elements: -0.6925 eV per atom
* total magnetization: 0.000 μB/f.u.
* symmetry: Pnnm
* theoretical density: 10.2 Mg/m³
* uncorrected energy: -8.7831 eV/atom


This record from Alexandria describes a relaxed VB2Ir crystal. The functional is PBE.

a = 3.833 Å, b = 3.833 Å, c = 3.833 Å
α = 60.00°, β = 60.00°, γ = 60.00°
Positions (direct):
V 0.000 0.000 0.000
B 0.250 0.250 0.250
B 0.750 0.750 0.750
Ir 0.500 0.500 0.500

Properties
* energy above the lowest structure with this stoichiometry: 174.3 meV per atom
* formation energy from the elements: 0.0367 eV per atom
* total magnetization: 1.899 μB/f.u.
* symmetry: Fm-3m
* theoretical density: 11.0 Mg/m³
* uncorrected energy: -7.7969 eV/atom